Record 1
Entry from the Alexandria database: a geometry-optimized BaFe2Re structure (GGA-PBE).

Properties
Formation energy in kJ per mole of atoms: 48

Lattice parameters (Å, degrees): 4.1633 4.1633 18.0029 90.00 90.00 120.00
With the nearest neighbours (Å) after each atom.
Space group R3m (No. 160, hexagonal axes)
Asymmetric unit:
Ba1 0.0000 0.0000 0.0000 (multiplicity 3)  4 Re 3.39-3.55, 7 Fe 3.40-3.69
Fe1 0.0000 0.0000 0.1888 (multiplicity 3)  3 Fe 2.48, 3 Re 2.53
Fe2 0.0000 0.0000 0.4886 (multiplicity 3)  3 Re 2.41, 3 Fe 2.48
Re1 0.0000 0.0000 0.8117 (multiplicity 3)  6 Fe 2.41-2.53



Record 2
Entry from the Alexandria database: a geometry-optimized K5Tl3Br12 structure (GGA-PBE).

Properties
ΔE_f (raw) in eV per atom: -1.05

Lattice parameters (Å, degrees): 19.2536 19.2536 19.2536 90.00 90.00 90.00
With the nearest neighbours (Å) after each atom.
Space group Ia-3d (No. 230)
Asymmetric unit:
K1 0.0000 0.0000 0.0000 (multiplicity 16)  6 Br 3.23
K2 0.0000 0.2500 0.3750 (multiplicity 24)  4 Br 3.45
Tl1 0.0000 0.2500 0.1250 (multiplicity 24)  4 Br 2.81
Br1 0.0214 0.0487 0.3407 (multiplicity 96)  1 Tl 2.81



Record 3
Entry from the Alexandria database: a geometry-optimized CaPr2Y4Tm structure (GGA-PBE).

Properties
Formation energy in kJ per mole of atoms: 40

Lattice parameters (Å, degrees): 13.8803 13.4704 6.8863 90.00 119.71 90.00
With the nearest neighbours (Å) after each atom.
Space group C2/c (No. 15)
Asymmetric unit:
Ca1 0.0000 0.0000 0.0000 (multiplicity 4)  6 Y 3.38-3.61, 2 Ca 3.44
Pr1 0.0000 0.5000 0.0000 (multiplicity 4)  6 Y 3.33-3.36, 2 Pr 3.44
Pr2 0.2500 0.2500 0.0000 (multiplicity 4)  6 Y 3.43-3.48, 2 Tm 3.44
Y1 0.9997 0.2506 0.0013 (multiplicity 8)  3 Pr 3.36-3.48, 1 Ca 3.38, 2 Y 3.42-3.47, 2 Tm 3.46-3.47
Y2 0.2370 0.4956 0.4857 (multiplicity 8)  1 Tm 3.31, 3 Pr 3.33-3.43, 2 Y 3.45, 2 Ca 3.60-3.61
Tm1 0.2500 0.2500 0.5000 (multiplicity 4)  6 Y 3.31-3.47, 2 Pr 3.44



Record 4
Entry from the Alexandria database: a geometry-optimized Nd6Ni2HgBr3 structure (GGA-PBE).

Properties
ΔE_f (raw) in eV per atom: -0.77

Lattice parameters (Å, degrees): 19.5109 4.1027 9.1731 90.00 108.27 90.00
With the nearest neighbours (Å) after each atom.
Space group C2/m (No. 12)
Asymmetric unit:
Nd1 0.0192 0.0000 0.2622 (multiplicity 4)  1 Ni 2.77, 2 Hg 3.09, 2 Br 3.10
Nd2 0.1645 0.5000 0.1287 (multiplicity 4)  2 Ni 2.82, 1 Hg 3.05
Nd3 0.1807 0.5000 0.5593 (multiplicity 4)  3 Ni 2.79-2.82
Ni1 0.1685 0.0000 0.3420 (multiplicity 4)  6 Nd 2.77-2.82
Hg1 0.0000 0.5000 0.0000 (multiplicity 2)  6 Nd 3.05-3.09
Br1 0.0000 0.5000 0.5000 (multiplicity 2)  6 Nd 3.10-3.39
Br2 0.1643 0.0000 0.8364 (multiplicity 4)  6 Nd 3.25-3.41



Record 5
Entry from the Alexandria database: a geometry-optimized PrSbAu structure (GGA-PBE).

Properties
ΔE_f (raw) in eV per atom: -0.62

Lattice parameters (Å, degrees): 4.2368 4.2368 9.1464 90.00 90.00 90.00
With the nearest neighbours (Å) after each atom.
Space group I4mm (No. 107)
Asymmetric unit:
Pr1 0.0000 0.0000 0.0000 (multiplicity 2)  5 Au 3.07-3.35, 5 Sb 3.21-3.29
Sb1 0.0000 0.0000 0.6490 (multiplicity 2)  1 Au 2.87, 1 Pr 3.21
Au1 0.0000 0.0000 0.3351 (multiplicity 2)  1 Sb 2.87, 1 Pr 3.07



Record 6
Entry from the Alexandria database: a geometry-optimized TaWIN2 structure (GGA-PBE).

Properties
ΔE_f (raw) in eV per atom: 1.31

Lattice parameters (Å, degrees): 3.9865 3.9865 5.6198 90.00 90.00 90.00
With the nearest neighbours (Å) after each atom.
Space group P4/mmm (No. 123)
Asymmetric unit:
Ta1 0.0000 0.0000 0.0000 (multiplicity 1)  4 I 2.82
W1 0.5000 0.5000 0.5000 (multiplicity 1)  4 N 1.99
I1 0.5000 0.5000 0.0000 (multiplicity 1)  2 W 2.81, 4 Ta 2.82
N1 0.0000 0.5000 0.5000 (multiplicity 2)  2 W 1.99



Record 7
Entry from the Alexandria database: a geometry-optimized LiCe2Se2S2 structure (GGA-PBE).

Properties
ΔE_f (raw) in eV per atom: -1.64

Lattice parameters (Å, degrees): 4.1391 5.7467 13.0452 90.00 90.00 90.00
With the nearest neighbours (Å) after each atom.
Space group Immm (No. 71)
Asymmetric unit:
Li1 0.0000 0.0000 0.0000 (multiplicity 2)  4 Se 2.56, 2 S 2.65
Ce1 0.0000 0.5000 0.1518 (multiplicity 4)  4 S 2.80-2.95
Se1 0.0000 0.2384 0.5000 (multiplicity 4)  2 Li 2.56, 1 Se 2.74
S1 0.0000 0.0000 0.2034 (multiplicity 4)  1 Li 2.65, 4 Ce 2.80-2.95



Record 8
Entry from the Alexandria database: a geometry-optimized Na4EuSn structure (GGA-PBE).

Properties
Formation energy in kJ per mole of atoms: -2

Lattice parameters (Å, degrees): 9.0679 9.0679 9.0679 90.00 90.00 90.00
With the nearest neighbours (Å) after each atom.
Space group F-43m (No. 216)
Asymmetric unit:
Na1 0.1245 0.1245 0.3755 (multiplicity 16)  6 Na 3.19-3.22
Eu1 0.0000 0.0000 0.0000 (multiplicity 4)  12 Na 3.76, 4 Sn 3.93
Sn1 0.2500 0.2500 0.7500 (multiplicity 4)  12 Na 3.76, 4 Eu 3.93



Record 9
Entry from the Alexandria database: a geometry-optimized GaHgIr2I structure (GGA-PBE).

Properties
ΔE_f (raw) in eV per atom: 1.81

Lattice parameters (Å, degrees): 5.1203 5.1203 5.9124 90.00 90.00 90.00
With the nearest neighbours (Å) after each atom.
Space group P4/mmm (No. 123)
Asymmetric unit:
Ga1 0.0000 0.0000 0.0000 (multiplicity 1)  4 I 3.62, 8 Ir 3.91
Hg1 0.5000 0.5000 0.5000 (multiplicity 1)  4 Ir 2.56
Ir1 0.0000 0.5000 0.5000 (multiplicity 2)  2 Hg 2.56
I1 0.5000 0.5000 0.0000 (multiplicity 1)  2 Hg 2.96



Record 10
Entry from the Alexandria database: a geometry-optimized Sc3TeMo structure (GGA-PBE).

Properties
ΔE_f (raw) in eV per atom: 0.81

Lattice parameters (Å, degrees): 5.1729 5.1729 5.1729 90.00 90.00 90.00
With the nearest neighbours (Å) after each atom.
Space group Pm-3m (No. 221)
Asymmetric unit:
Sc1 0.0000 0.0000 0.5000 (multiplicity 3)  2 Te 2.59
Te1 0.0000 0.0000 0.0000 (multiplicity 1)  6 Sc 2.59
Mo1 0.5000 0.5000 0.5000 (multiplicity 1)  12 Sc 3.66



Record 11
Entry from the Alexandria database: a geometry-optimized LiLaPuOs structure (GGA-PBE).

Properties
Formation energy in kJ per mole of atoms: 5

Lattice parameters (Å, degrees): 7.0676 7.0676 7.0676 90.00 90.00 90.00
With the nearest neighbours (Å) after each atom.
Space group F-43m (No. 216)
Asymmetric unit:
Li1 0.0000 0.0000 0.0000 (multiplicity 4)  4 La 3.06, 4 Pu 3.06
La1 0.2500 0.2500 0.7500 (multiplicity 4)  4 Li 3.06, 4 Os 3.06
Pu1 0.2500 0.2500 0.2500 (multiplicity 4)  4 Li 3.06, 4 Os 3.06
Os1 0.0000 0.0000 0.5000 (multiplicity 4)  4 La 3.06, 4 Pu 3.06



Record 12
Entry from the Alexandria database: a geometry-optimized BaNaV structure (GGA-PBE).

Properties
Formation energy in kJ per mole of atoms: 47

Lattice parameters (Å, degrees): 3.5355 4.1873 14.4683 87.96 83.24 87.32
With the nearest neighbours (Å) after each atom.
Space group P-1 (No. 2)
Asymmetric unit:
Ba1 0.0974 0.2088 0.3118 (multiplicity 2)  5 V 3.36-3.74, 2 Ba 3.54
Na1 0.2928 0.2613 0.9111 (multiplicity 2)  6 Na 3.54-3.80
V1 0.3960 0.3038 0.5210 (multiplicity 2)  1 V 1.88



Record 13
Entry from the Alexandria database: a geometry-optimized DyHf2Ga9 structure (GGA-PBE).

Properties
Formation energy in kJ per mole of atoms: -41

Lattice parameters (Å, degrees): 4.1752 4.1752 12.4100 90.00 90.00 90.00
With the nearest neighbours (Å) after each atom.
Space group P4/mmm (No. 123)
Asymmetric unit:
Dy1 0.0000 0.0000 0.0000 (multiplicity 1)  12 Ga 2.95-3.02
Hf1 0.0000 0.0000 0.3392 (multiplicity 2)  12 Ga 2.89-2.95
Ga1 0.0000 0.5000 0.1754 (multiplicity 4)  8 Ga 2.88-3.02, 2 Hf 2.91, 2 Dy 3.02
Ga2 0.0000 0.5000 0.5000 (multiplicity 2)  4 Hf 2.89, 8 Ga 2.92-2.95
Ga3 0.5000 0.5000 0.0000 (multiplicity 1)  4 Dy 2.95, 8 Ga 3.02
Ga4 0.5000 0.5000 0.3355 (multiplicity 2)  8 Ga 2.88-2.92, 4 Hf 2.95



Record 14
Entry from the Alexandria database: a geometry-optimized La2Cd2Ge structure (GGA-PBE).

Properties
Formation energy in kJ per mole of atoms: -30

Lattice parameters (Å, degrees): 4.0020 4.0020 18.3453 90.00 90.00 90.00
With the nearest neighbours (Å) after each atom.
Space group I4/mmm (No. 139)
Asymmetric unit:
La1 0.0000 0.0000 0.0844 (multiplicity 4)  1 La 3.10, 4 Ge 3.23
Cd1 0.0000 0.5000 0.2500 (multiplicity 4)  4 Cd 2.83
Ge1 0.0000 0.0000 0.5000 (multiplicity 2)  8 La 3.23



Record 15
Entry from the Alexandria database: a geometry-optimized CaRh7O12 structure (GGA-PBE).

Properties
ΔE_f (raw) in eV per atom: -0.84

Lattice parameters (Å, degrees): 7.6454 7.6454 7.6454 90.00 90.00 90.00
With the nearest neighbours (Å) after each atom.
Space group Im-3 (No. 204)
Asymmetric unit:
Ca1 0.0000 0.0000 0.0000 (multiplicity 2)  12 O 2.71
Rh1 0.0000 0.0000 0.5000 (multiplicity 6)  4 O 1.98
Rh2 0.2500 0.2500 0.2500 (multiplicity 8)  6 O 2.04
O1 0.0000 0.1750 0.3084 (multiplicity 24)  3 Rh 1.98-2.04



Record 16
Entry from the Alexandria database: a geometry-optimized Y6InSe4 structure (GGA-PBE).

Properties
ΔE_f (raw) in eV per atom: -1.40

Lattice parameters (Å, degrees): 4.0454 13.5709 20.8435 90.00 90.00 90.00
With the nearest neighbours (Å) after each atom.
Space group Cmcm (No. 63)
Asymmetric unit:
Y1 0.0000 0.0000 0.0000 (multiplicity 4)  6 Se 2.81-2.89
Y2 0.0000 0.1526 0.2500 (multiplicity 4)  2 Se 2.80, 2 In 3.12
Y3 0.0000 0.2705 0.5921 (multiplicity 8)  5 Se 2.87-2.96
Y4 0.0000 0.4513 0.1628 (multiplicity 8)  3 Se 2.87-2.89, 2 In 3.19
In1 0.0000 0.1719 0.7500 (multiplicity 4)  6 Y 3.12-3.19
Se1 0.0000 0.0874 0.1225 (multiplicity 8)  6 Y 2.80-2.87
Se2 0.0000 0.3590 0.0379 (multiplicity 8)  6 Y 2.89-2.96



Record 17
Entry from the Alexandria database: a geometry-optimized Rb2MgGeI6 structure (GGA-PBE).

Properties
ΔE_f (raw) in eV per atom: -0.95

Lattice parameters (Å, degrees): 11.8630 11.8630 11.8630 90.00 90.00 90.00
With the nearest neighbours (Å) after each atom.
Space group Fm-3m (No. 225)
Asymmetric unit:
Rb1 0.2500 0.2500 0.2500 (multiplicity 8)  12 I 4.19
Mg1 0.0000 0.0000 0.0000 (multiplicity 4)  6 I 2.94
Ge1 0.0000 0.0000 0.5000 (multiplicity 4)  6 I 3.00
I1 0.0000 0.0000 0.2474 (multiplicity 24)  1 Mg 2.94, 1 Ge 3.00



Record 18
Entry from the Alexandria database: a geometry-optimized AlCr2Ag structure (GGA-PBE).

Properties
Formation energy in kJ per mole of atoms: 18

Lattice parameters (Å, degrees): 2.9578 4.5031 8.5202 90.00 90.00 90.00
With the nearest neighbours (Å) after each atom.
Space group Cmm2 (No. 35)
Asymmetric unit:
Al1 0.0000 0.0000 0.0000 (multiplicity 2)  2 Cr 2.57, 4 Al 2.69, 2 Ag 2.75
Cr1 0.0000 0.0000 0.5525 (multiplicity 2)  2 Cr 2.26
Cr2 0.0000 0.5000 0.7536 (multiplicity 2)  2 Cr 2.26
Ag1 0.0000 0.5000 0.2724 (multiplicity 2)  6 Ag 2.69-2.96, 2 Al 2.75, 2 Cr 2.81



Record 19
Entry from the Alexandria database: a geometry-optimized CePuPaSi structure (GGA-PBE).

Properties
ΔE_f (raw) in eV per atom: -0.05

Lattice parameters (Å, degrees): 7.0743 7.0743 7.0743 90.00 90.00 90.00
With the nearest neighbours (Å) after each atom.
Space group F-43m (No. 216)
Asymmetric unit:
Ce1 0.0000 0.0000 0.0000 (multiplicity 4)  4 Si 3.06, 4 Pa 3.06
Pu1 0.0000 0.0000 0.5000 (multiplicity 4)  4 Pa 3.06, 4 Si 3.06
Pa1 0.2500 0.2500 0.7500 (multiplicity 4)  4 Ce 3.06, 4 Pu 3.06
Si1 0.2500 0.2500 0.2500 (multiplicity 4)  4 Ce 3.06, 4 Pu 3.06



Record 20
Entry from the Alexandria database: a geometry-optimized MnFeNiC structure (GGA-PBE).

Properties
Formation energy in kJ per mole of atoms: 16

Lattice parameters (Å, degrees): 8.0212 2.6559 4.2957 90.00 122.31 90.00
With the nearest neighbours (Å) after each atom.
Space group Cm (No. 8)
Asymmetric unit:
Mn1 0.0000 0.0000 0.0000 (multiplicity 2)  2 C 2.03
Fe1 0.1881 0.0000 0.6772 (multiplicity 2)  2 C 1.88
Ni1 0.3702 0.0000 0.3577 (multiplicity 2)  2 C 1.98
C1 0.1881 0.5000 0.9881 (multiplicity 2)  2 Fe 1.88, 2 Ni 1.98, 2 Mn 2.03



Record 21
Entry from the Alexandria database: a geometry-optimized Ca2TlInC structure (GGA-PBE).

Properties
Formation energy in kJ per mole of atoms: 128

Lattice parameters (Å, degrees): 6.0467 6.0467 5.6546 90.00 90.00 90.00
With the nearest neighbours (Å) after each atom.
Space group P4/mmm (No. 123)
Asymmetric unit:
Ca1 0.0000 0.5000 0.0000 (multiplicity 2)  2 In 3.02
Tl1 0.0000 0.0000 0.5000 (multiplicity 1)  2 In 2.83
In1 0.0000 0.0000 0.0000 (multiplicity 1)  2 Tl 2.83, 4 Ca 3.02
C1 0.5000 0.5000 0.5000 (multiplicity 1)  8 Ca 4.14, 4 Tl 4.28



Total moment values (in μB per cell) by entry order: 10.4, 0.0, 5.4, 0.0, 0.0, 2.1, 4.3, 28.4, 2.6, 0.0, 22.3, 0.0, 0.0, 0.0, 8.8, 0.0, 0.0, 0.0, 26.5, 2.4, 2.7.
N(E_F) values (in states/eV/f.u.) by entry order: 4.0, 12.9, 17.4, 9.5, 2.0, 5.0, 13.3, 0.9, 12.0, 11.6, 10.3, 2.9, 5.0, 3.6, 13.0, 9.6, 0.0, 2.5, 9.4, 3.5, 3.7.